(1)
Computed, not measured: a relaxed HoLuPO crystal at the PBE-GGA level of DFT.

Summary:
- Polymorph energy (0 for the lowest one): 0.146 eV/atom

Cell: 4.265 4.265 8.344 Å, 90.00 90.00 90.00°
Fractional positions:
Ho1 0.250 0.750 0.000
Ho2 0.750 0.250 0.000
Lu1 0.250 0.250 0.405
Lu2 0.750 0.750 0.595
P1 0.250 0.250 0.798
P2 0.750 0.750 0.202
O1 0.250 0.750 0.500
O2 0.750 0.250 0.500

---

(2)
Computed, not measured: a relaxed Ho3Lu3Sb2Os crystal at the PBE-GGA level of DFT.

Summary:
- Polymorph energy (0 for the lowest one): 0.078 eV/atom

Cell: 8.104 8.104 4.173 Å, 90.00 90.00 120.00°
Fractional positions:
Ho1 0.000 0.240 0.000
Ho2 0.240 0.000 0.000
Ho3 0.760 0.760 0.000
Lu1 0.000 0.612 0.500
Lu2 0.388 0.388 0.500
Lu3 0.612 0.000 0.500
Sb1 0.333 0.667 0.000
Sb2 0.667 0.333 0.000
Os1 0.000 0.000 0.500

---

(3)
Computed, not measured: a relaxed Ho3Lu3Sb2Os crystal at the PBE-GGA level of DFT.

Summary:
- Polymorph energy (0 for the lowest one): 0.000 eV/atom

Cell: 8.062 8.062 4.193 Å, 90.00 90.00 120.00°
Fractional positions:
Ho1 0.000 0.608 0.000
Ho2 0.392 0.392 0.000
Ho3 0.608 0.000 0.000
Lu1 0.000 0.234 0.500
Lu2 0.234 0.000 0.500
Lu3 0.766 0.766 0.500
Sb1 0.333 0.667 0.500
Sb2 0.667 0.333 0.500
Os1 0.000 0.000 0.000

---

(4)
Computed, not measured: a relaxed Ho3LuSc2Sb2Os crystal at the PBE-GGA level of DFT.

Summary:
- VASP energy: -6.19 eV per atom

Cell: 4.071 8.057 8.057 Å, 120.68 90.00 90.00°
Fractional positions:
Ho1 0.000 0.000 0.000
Ho2 0.000 0.516 0.760
Ho3 0.000 0.760 0.516
Lu1 0.500 0.368 0.368
Sc1 0.500 0.147 0.758
Sc2 0.500 0.758 0.147
Sb1 0.000 0.087 0.425
Sb2 0.000 0.425 0.087
Os1 0.500 0.755 0.755

---

Number 1: size of the total moment 0.002 μB/atom. Number 2: size of the total moment 0.001 μB/atom. Number 3: size of the total moment 0.004 μB/atom. Number 4: size of the total moment 0.009 μB/atom.